--- 1 ---
DFT (PBE) results for a geometry-optimized VMoS structure.

a b c (Å): 4.1402 4.1402 2.9411
angles (deg): 90.00 90.00 120.00
Last column: nearest neighbours and their distance in Å.
Space group P3m1 (No. 156)
Asymmetric unit:
1 V 0.0000 0.0000 0.0000 [1 per cell]  3 S 2.62, 3 Mo 2.64
2 Mo 0.6667 0.3333 0.3816 [1 per cell]  3 S 2.39, 3 V 2.64
3 S 0.3333 0.6667 0.3646 [1 per cell]  3 Mo 2.39, 3 V 2.62


--- 2 ---
DFT (PBE) results for a geometry-optimized VMoS structure.

a b c (Å): 3.1598 3.1598 9.6413
angles (deg): 90.00 90.00 90.00
Last column: nearest neighbours and their distance in Å.
Space group P4/nmm (No. 129, origin choice 2)
Asymmetric unit:
1 V 0.2500 0.2500 0.2414 [2 per cell]  4 S 2.43
2 Mo 0.2500 0.2500 0.9237 [2 per cell]  1 S 2.55, 4 Mo 2.67, 4 V 2.74
3 S 0.2500 0.2500 0.6590 [2 per cell]  4 V 2.43, 1 Mo 2.55


Most stable = 2


--- 1 ---
DFT (PBE) results for a geometry-optimized MoWS3 structure.

a b c (Å): 4.6543 4.6543 4.6543
angles (deg): 90.00 90.00 90.00
Last column: nearest neighbours and their distance in Å.
Space group Pm-3m (No. 221)
Asymmetric unit:
1 Mo 0.0000 0.0000 0.0000 [1 per cell]  6 S 2.33
2 W 0.5000 0.5000 0.5000 [1 per cell]  12 S 3.29
3 S 0.0000 0.0000 0.5000 [3 per cell]  2 Mo 2.33


--- 2 ---
DFT (PBE) results for a geometry-optimized MoWS3 structure.

a b c (Å): 4.6830 4.6830 4.6830
angles (deg): 90.00 90.00 90.00
Last column: nearest neighbours and their distance in Å.
Space group Pm-3m (No. 221)
Asymmetric unit:
1 Mo 0.0000 0.0000 0.0000 [1 per cell]  12 S 3.31
2 W 0.5000 0.5000 0.5000 [1 per cell]  6 S 2.34
3 S 0.0000 0.5000 0.5000 [3 per cell]  2 W 2.34


Most stable = 2


--- 1 ---
DFT (PBE) results for a geometry-optimized MoWS4 structure.

a b c (Å): 7.2477 13.3323 5.6381
angles (deg): 90.00 119.52 90.00
Last column: nearest neighbours and their distance in Å.
Space group C2/c (No. 15)
Asymmetric unit:
1 Mo 0.0000 0.1570 0.2500 [4 per cell]  4 S 2.30-2.34
2 W 0.0000 0.0483 0.7500 [4 per cell]  6 S 2.39-2.54
3 S 0.2040 0.1955 0.7051 [8 per cell]  1 Mo 2.30, 1 W 2.54
4 S 0.2390 0.4422 0.7627 [8 per cell]  1 Mo 2.34, 2 W 2.39-2.45


--- 2 ---
DFT (PBE) results for a geometry-optimized MoWS4 structure.

a b c (Å): 3.1897 3.1897 32.2132
angles (deg): 90.00 90.00 120.00
Last column: nearest neighbours and their distance in Å.
Space group P3m1 (No. 156)
Asymmetric unit:
1 Mo 0.0000 0.0000 0.0000 [1 per cell]  6 S 2.42
2 Mo 0.0000 0.0000 0.4374 [1 per cell]  6 S 2.42
3 W 0.3333 0.6667 0.2208 [1 per cell]  6 S 2.42
4 W 0.3333 0.6667 0.6545 [1 per cell]  6 S 2.42
5 S 0.0000 0.0000 0.1720 [1 per cell]  3 W 2.42
6 S 0.0000 0.0000 0.2696 [1 per cell]  3 W 2.42
7 S 0.0000 0.0000 0.6057 [1 per cell]  3 W 2.42
8 S 0.0000 0.0000 0.7033 [1 per cell]  3 W 2.42
9 S 0.3333 0.6667 0.0486 [1 per cell]  3 Mo 2.42
10 S 0.3333 0.6667 0.3888 [1 per cell]  3 Mo 2.42
11 S 0.3333 0.6667 0.4859 [1 per cell]  3 Mo 2.42
12 S 0.3333 0.6667 0.9514 [1 per cell]  3 Mo 2.42


Most stable = 2


--- 1 ---
DFT (PBE) results for a geometry-optimized YMoS structure.

a b c (Å): 3.5049 3.8354 9.2839
angles (deg): 84.11 83.32 89.72
Last column: nearest neighbours and their distance in Å.
Space group P1 (No. 1)
Asymmetric unit:
1 Y 0.0000 0.0000 0.0000 [1 per cell]  6 S 2.72-2.84
2 Y 0.1207 0.5879 0.6222 [1 per cell]  4 S 2.87-2.89, 1 Mo 3.10
3 Mo 0.1722 0.1666 0.3311 [1 per cell]  1 S 2.53, 4 Mo 2.54-2.65
4 Mo 0.6627 0.6777 0.3318 [1 per cell]  4 Mo 2.54-2.65, 1 S 2.60
5 S 0.4714 0.4781 0.0909 [1 per cell]  2 Mo 2.53-2.60, 4 Y 2.72-2.73
6 S 0.5775 0.0550 0.7576 [1 per cell]  6 Y 2.82-2.89


--- 2 ---
DFT (PBE) results for a geometry-optimized YMoS structure.

a b c (Å): 9.1936 3.6130 8.7992
angles (deg): 90.00 117.07 90.00
Last column: nearest neighbours and their distance in Å.
Space group Cm (No. 8)
Asymmetric unit:
1 Y 0.0000 0.0000 0.0000 [2 per cell]  5 S 2.65-2.87
2 Y 0.0612 0.5000 0.6234 [2 per cell]  4 S 2.73-2.85, 1 Mo 3.03
3 Mo 0.1947 0.0000 0.4001 [2 per cell]  2 Mo 2.49, 1 S 2.54
4 Mo 0.3163 0.5000 0.2988 [2 per cell]  1 S 2.45, 2 Mo 2.49
5 S 0.2062 0.5000 0.9872 [2 per cell]  1 Mo 2.45, 3 Y 2.65-2.66
6 S 0.3209 0.0000 0.7237 [2 per cell]  1 Mo 2.54, 3 Y 2.73-2.80


Most stable = 1